# HgBPt3 | the Alexandria database | PBE-GGA | optimized geometry
# **V**: 15.6 A^3/atom
# **Offset from the most stable computed form**: 0.102 eV/atom
# **ΔH_f (0 K)**: -107 meV/atom
# **Energy**: -5.13 eV/atom
data_HgBPt3
_space_group_name_H-M_alt 'P 1 21/c 1'
_space_group_IT_number 14
_space_group_name_Hall '-P 2ybc'
_cell_length_a 7.5313
_cell_length_b 5.5585
_cell_length_c 7.6079
_cell_angle_alpha 90.00
_cell_angle_beta 102.22
_cell_angle_gamma 90.00
loop_
_atom_site_label
_atom_site_type_symbol
_atom_site_fract_x
_atom_site_fract_y
_atom_site_fract_z
Hg1 Hg 0.0623 0.1135 0.1880
B1 B 0.4287 0.7463 0.5659
Pt1 Pt 0.1840 0.5724 0.0722
Pt2 Pt 0.3131 0.0800 0.9416
Pt3 Pt 0.4302 0.5727 0.8177